Entry 1:
Compound: Ta2MnCl
Source: the Alexandria database
Functional: PBE
Structure: optimized geometry

Geometry as POSCAR:
```
Ta2MnCl
1.0
1.647 -2.441 0.000
1.647 2.441 0.000
0.000 0.000 8.605
Ta Mn Cl
2 1 1
Direct
0.000 0.000 0.000
0.500 0.500 0.265
0.000 0.000 0.503
0.500 0.500 0.756
```

Values from the calculation:
Space-group type: No. 35
Total magnetization in μB per cell: 3.00
Electronic total energy in eV/atom: -8.578
Formation energy (no corrections) in eV per atom: 0.103
Density of states at the Fermi level in states/eV/f.u.: 3.42
V in A^3/atom: 17.30
Excess energy over the best structure of this formula in the dataset in meV/atom: 151

Entry 2:
Compound: SrY2W
Source: the Alexandria database
Functional: PBE
Structure: optimized geometry

Geometry as POSCAR:
```
SrY2W
1.0
-2.392 2.392 4.819
2.392 -2.392 4.819
2.392 2.392 -4.819
Sr Y W
1 2 1
Direct
0.000 0.000 0.000
0.500 0.500 0.000
0.750 0.250 0.500
0.250 0.750 0.500
```

Values from the calculation:
Space-group type: No. 119
Total magnetization in μB per cell: 0.00
Electronic total energy in eV/atom: -6.080
Density of states at the Fermi level in states/eV/f.u.: 3.67
V in A^3/atom: 27.57
Excess energy over the best structure of this formula in the dataset in meV/atom: 377

Entry 3:
Compound: SrCa6Mg2
Source: the Alexandria database
Functional: PBE
Structure: optimized geometry

Geometry as POSCAR:
```
SrCa6Mg2
1.0
6.930 -2.017 0.000
6.930 2.017 0.000
-4.305 0.000 12.495
Sr Ca Mg
1 6 2
Direct
0.000 0.000 0.000
0.022 0.022 0.333
0.314 0.314 0.127
0.322 0.322 0.419
0.678 0.678 0.581
0.686 0.686 0.873
0.978 0.978 0.667
0.339 0.339 0.778
0.661 0.661 0.222
```

Values from the calculation:
Space-group type: No. 12
Total magnetization in μB per cell: 0.00
Electronic total energy in eV/atom: -1.890
Density of states at the Fermi level in states/eV/f.u.: 9.41
V in A^3/atom: 38.82
Excess energy over the best structure of this formula in the dataset in meV/atom: 0